## 1
The following is a PBE-GGA calculation of crystalline Cu2Ag3 at its relaxed geometry, from OQMD.

Cell lengths 7.0560, 2.8757, 7.7068 Å; angles 90.00, 96.88, 90.00 degrees
With the nearest neighbours (Å) after each atom.
Positions (direct):
1 Cu 0.0418 0.2500 0.1366  4 Cu 2.54-2.56, 5 Ag 2.70-2.76
2 Cu 0.2060 0.2500 0.7385  2 Cu 2.54, 7 Ag 2.69-2.75
3 Cu 0.7940 0.7500 0.2615  2 Cu 2.54, 7 Ag 2.69-2.75
4 Cu 0.9582 0.7500 0.8634  4 Cu 2.54-2.56, 5 Ag 2.70-2.76
5 Ag 0.1564 0.7500 0.4324  5 Cu 2.73-2.75, 7 Ag 2.88-2.93
6 Ag 0.3283 0.7500 0.0253  5 Cu 2.69-2.76, 6 Ag 2.88
7 Ag 0.4848 0.2500 0.3326  2 Cu 2.72, 9 Ag 2.88-2.94
8 Ag 0.5152 0.7500 0.6674  2 Cu 2.72, 9 Ag 2.88-2.94
9 Ag 0.6717 0.2500 0.9747  5 Cu 2.69-2.76, 6 Ag 2.88
10 Ag 0.8436 0.2500 0.5676  5 Cu 2.73-2.75, 7 Ag 2.88-2.93

Results
- Space-group type: P2_1/m, No. 11

---

## 2
The following is a PBE-GGA calculation of crystalline Cu2Ag3 at its relaxed geometry, from OQMD.

Cell lengths 6.8640, 2.8422, 8.1774 Å; angles 90.00, 102.85, 90.00 degrees
With the nearest neighbours (Å) after each atom.
Positions (direct):
1 Cu 0.0422 0.2500 0.1502  6 Cu 2.70-2.84, 6 Ag 2.70-2.78
2 Cu 0.1271 0.7500 0.4381  5 Ag 2.62-2.74, 6 Cu 2.62-2.84
3 Cu 0.8729 0.2500 0.5619  5 Ag 2.62-2.74, 6 Cu 2.62-2.84
4 Cu 0.9578 0.7500 0.8498  6 Cu 2.70-2.84, 6 Ag 2.70-2.78
5 Ag 0.2455 0.2500 0.7303  5 Cu 2.62-2.78, 6 Ag 2.84-2.89
6 Ag 0.3322 0.7500 0.0431  3 Cu 2.70-2.74, 8 Ag 2.84-2.92
7 Ag 0.4222 0.2500 0.3516  3 Cu 2.69-2.76, 8 Ag 2.81-2.89
8 Ag 0.5778 0.7500 0.6484  3 Cu 2.69-2.76, 8 Ag 2.81-2.89
9 Ag 0.6678 0.2500 0.9569  3 Cu 2.70-2.74, 8 Ag 2.84-2.92
10 Ag 0.7545 0.7500 0.2697  5 Cu 2.62-2.78, 6 Ag 2.84-2.89

Results
- Space-group type: P2_1/m, No. 11

---

Most stable structure: 1

---

## 1
The following is a PBE-GGA calculation of crystalline GdErNO at its relaxed geometry, from OQMD.

Cell lengths 4.2370, 4.2370, 7.6708 Å; angles 90.00, 90.00, 90.00 degrees
With the nearest neighbours (Å) after each atom.
Positions (direct):
1 Gd 0.2500 0.7500 0.0000  4 N 2.38
2 Gd 0.7500 0.2500 0.0000  4 N 2.38
3 Er 0.2500 0.2500 0.4012  4 O 2.25
4 Er 0.7500 0.7500 0.5988  4 O 2.25
5 N 0.2500 0.2500 0.8588  4 Gd 2.38
6 N 0.7500 0.7500 0.1412  4 Gd 2.38
7 O 0.2500 0.7500 0.5000  4 Er 2.25
8 O 0.7500 0.2500 0.5000  4 Er 2.25

Results
- Space-group type: P4/nmm, No. 129
- Total magnetic moment: 1.115 μB/cell

---

## 2
The following is a PBE-GGA calculation of crystalline GdErNO at its relaxed geometry, from OQMD.

Cell lengths 8.0461, 6.6307, 4.9120 Å; angles 90.00, 90.00, 90.00 degrees
With the nearest neighbours (Å) after each atom.
Positions (direct):
1 Gd 0.1238 0.0679 0.2500  4 O 2.26-2.46, 1 N 2.27
2 Gd 0.1238 0.4321 0.7500  4 O 2.26-2.46, 1 N 2.27
3 Gd 0.8762 0.5679 0.2500  4 O 2.26-2.46, 1 N 2.27
4 Gd 0.8762 0.9321 0.7500  4 O 2.26-2.46, 1 N 2.27
5 Er 0.3755 0.5842 0.2500  1 O 2.23, 4 N 2.24-2.46
6 Er 0.3755 0.9158 0.7500  1 O 2.23, 4 N 2.24-2.46
7 Er 0.6245 0.0842 0.2500  1 O 2.23, 4 N 2.24-2.46
8 Er 0.6245 0.4158 0.7500  1 O 2.23, 4 N 2.24-2.46
9 N 0.3795 0.5754 0.7500  4 Er 2.24-2.46, 1 Gd 2.27
10 N 0.3795 0.9246 0.2500  4 Er 2.24-2.46, 1 Gd 2.27
11 N 0.6205 0.0754 0.7500  4 Er 2.24-2.46, 1 Gd 2.27
12 N 0.6205 0.4246 0.2500  4 Er 2.24-2.46, 1 Gd 2.27
13 O 0.1397 0.0922 0.7500  1 Er 2.23, 4 Gd 2.26-2.46
14 O 0.1397 0.4078 0.2500  1 Er 2.23, 4 Gd 2.26-2.46
15 O 0.8603 0.5922 0.7500  1 Er 2.23, 4 Gd 2.26-2.46
16 O 0.8603 0.9078 0.2500  1 Er 2.23, 4 Gd 2.26-2.46

Results
- Space-group type: Pbcm, No. 57
- Total magnetic moment: 0.018 μB/cell

---

Most stable structure: 2

---

## 1
The following is a PBE-GGA calculation of crystalline Al2CuAu2 at its relaxed geometry, from OQMD.

Cell lengths 6.6847, 6.6847, 6.6847 Å; angles 146.40, 146.40, 48.26 degrees
With the nearest neighbours (Å) after each atom.
Positions (direct):
1 Al 0.1003 0.1003 0.0000  1 Al 2.45, 4 Au 2.66
2 Al 0.8997 0.8997 0.0000  1 Al 2.45, 4 Au 2.66
3 Cu 0.5000 0.5000 0.0000  8 Al 2.99
4 Au 0.2500 0.7500 0.5000  4 Al 2.66, 4 Au 2.73
5 Au 0.7500 0.2500 0.5000  4 Al 2.66, 4 Au 2.73

Results
- Space-group type: I4/mmm, No. 139

---

## 2
The following is a PBE-GGA calculation of crystalline Al2CuAu2 at its relaxed geometry, from OQMD.

Cell lengths 6.6276, 6.6276, 6.6276 Å; angles 146.22, 146.22, 48.53 degrees
With the nearest neighbours (Å) after each atom.
Positions (direct):
1 Al 0.2500 0.7500 0.5000  4 Au 2.56, 4 Al 2.72
2 Al 0.7500 0.2500 0.5000  4 Au 2.56, 4 Al 2.72
3 Cu 0.0000 0.0000 0.0000  8 Au 3.03
4 Au 0.3894 0.3894 0.0000  4 Al 2.56, 1 Au 2.67
5 Au 0.6106 0.6106 0.0000  4 Al 2.56, 1 Au 2.67

Results
- Space-group type: I4/mmm, No. 139

---

Most stable structure: 2

---

## 1
The following is a PBE-GGA calculation of crystalline Cu2Ag at its relaxed geometry, from OQMD.

Cell lengths 4.6335, 4.6335, 8.0069 Å; angles 105.79, 105.79, 49.54 degrees
With the nearest neighbours (Å) after each atom.
Positions (direct):
1 Cu 0.0104 0.0104 0.3489  8 Cu 2.48-2.76, 4 Ag 2.67-2.77
2 Cu 0.3394 0.3394 0.1200  5 Cu 2.59-2.83, 7 Ag 2.68-2.79
3 Cu 0.3427 0.3427 0.4446  9 Cu 2.53-2.80, 3 Ag 2.64-2.67
4 Cu 0.6573 0.6573 0.5554  9 Cu 2.53-2.80, 3 Ag 2.64-2.67
5 Cu 0.6606 0.6606 0.8800  5 Cu 2.59-2.83, 7 Ag 2.68-2.79
6 Cu 0.9896 0.9896 0.6511  8 Cu 2.48-2.76, 4 Ag 2.67-2.77
7 Ag 0.0000 0.0000 0.0000  8 Cu 2.70-2.77, 4 Ag 2.80
8 Ag 0.3217 0.3217 0.7670  10 Cu 2.64-2.79, 2 Ag 2.80
9 Ag 0.6783 0.6783 0.2330  10 Cu 2.64-2.79, 2 Ag 2.80

Results
- Space-group type: C2/m, No. 12

---

## 2
The following is a PBE-GGA calculation of crystalline Cu2Ag at its relaxed geometry, from OQMD.

Cell lengths 2.7361, 2.7361, 19.4502 Å; angles 90.00, 90.00, 120.00 degrees
With the nearest neighbours (Å) after each atom.
Positions (direct):
1 Cu 0.0000 0.0000 0.0000  12 Cu 2.53-2.74
2 Cu 0.0000 0.0000 0.3067  9 Cu 2.53-2.74, 3 Ag 2.75
3 Cu 0.0000 0.0000 0.6673  6 Ag 2.74, 6 Cu 2.74
4 Cu 0.3333 0.6667 0.2052  12 Cu 2.53-2.74
5 Cu 0.3333 0.6667 0.8982  9 Cu 2.53-2.74, 3 Ag 2.75
6 Cu 0.6667 0.3333 0.1026  12 Cu 2.54-2.74
7 Ag 0.3333 0.6667 0.5525  3 Cu 2.74, 9 Ag 2.74-2.98
8 Ag 0.6667 0.3333 0.4226  9 Ag 2.74-2.98, 3 Cu 2.75
9 Ag 0.6667 0.3333 0.7823  6 Ag 2.74, 6 Cu 2.74-2.75

Results
- Space-group type: P3m1, No. 156

---

Most stable structure: 1

---

## 1
The following is a PBE-GGA calculation of crystalline MgPtSeO at its relaxed geometry, from OQMD.

Cell lengths 4.0030, 4.0030, 9.5787 Å; angles 90.00, 90.00, 90.00 degrees
With the nearest neighbours (Å) after each atom.
Positions (direct):
1 Mg 0.2500 0.2500 0.1276  5 Se 2.63-2.84
2 Mg 0.7500 0.7500 0.8724  5 Se 2.63-2.84
3 Pt 0.2500 0.2500 0.5568  4 O 2.07
4 Pt 0.7500 0.7500 0.4432  4 O 2.07
5 Se 0.2500 0.2500 0.8533  5 Mg 2.63-2.84, 1 Pt 2.84
6 Se 0.7500 0.7500 0.1467  5 Mg 2.63-2.84, 1 Pt 2.84
7 O 0.2500 0.7500 0.5000  4 Pt 2.07
8 O 0.7500 0.2500 0.5000  4 Pt 2.07

Results
- Space-group type: P4/nmm, No. 129
- Total magnetic moment: 0.007 μB/cell

---

## 2
The following is a PBE-GGA calculation of crystalline MgPtSeO at its relaxed geometry, from OQMD.

Cell lengths 4.0850, 4.0850, 7.8735 Å; angles 90.00, 90.00, 90.00 degrees
With the nearest neighbours (Å) after each atom.
Positions (direct):
1 Mg 0.2500 0.7500 0.0000  4 Pt 2.68, 4 Mg 2.89
2 Mg 0.7500 0.2500 0.0000  4 Pt 2.68, 4 Mg 2.89
3 Pt 0.2500 0.2500 0.2196  1 O 2.17
4 Pt 0.7500 0.7500 0.7804  1 O 2.17
5 Se 0.2500 0.2500 0.7107  1 O 1.69
6 Se 0.7500 0.7500 0.2893  1 O 1.69
7 O 0.2500 0.2500 0.4955  1 Se 1.69
8 O 0.7500 0.7500 0.5045  1 Se 1.69

Results
- Space-group type: P4/nmm, No. 129
- Total magnetic moment: 0.005 μB/cell

---

Most stable structure: 1

---

## 1
The following is a PBE-GGA calculation of crystalline AgPbSO at its relaxed geometry, from OQMD.

Cell lengths 7.7678, 7.7678, 5.7281 Å; angles 90.00, 90.00, 152.13 degrees
With the nearest neighbours (Å) after each atom.
Positions (direct):
1 Ag 0.0554 0.9446 0.5000  1 O 2.18
2 Ag 0.9446 0.0554 0.0000  1 O 2.18
3 Pb 0.3271 0.6729 0.4687  2 O 2.27
4 Pb 0.6729 0.3271 0.9687  2 O 2.27
5 S 0.3325 0.6675 0.9623  2 Ag 2.53, 1 Pb 2.83
6 S 0.6675 0.3325 0.4623  2 Ag 2.53, 1 Pb 2.83
7 O 0.0877 0.9123 0.9419  1 Ag 2.18, 2 Pb 2.27
8 O 0.9123 0.0877 0.4419  1 Ag 2.18, 2 Pb 2.27

Results
- Space-group type: Cmc2_1, No. 36

---

## 2
The following is a PBE-GGA calculation of crystalline AgPbSO at its relaxed geometry, from OQMD.

Cell lengths 4.0041, 4.0041, 9.6407 Å; angles 90.00, 90.00, 90.00 degrees
With the nearest neighbours (Å) after each atom.
Positions (direct):
1 Ag 0.2500 0.2500 0.1729  1 O 2.23
2 Ag 0.7500 0.7500 0.8271  1 O 2.23
3 Pb 0.2500 0.2500 0.6352  1 O 2.23
4 Pb 0.7500 0.7500 0.3648  1 O 2.23
5 S 0.2500 0.7500 0.0000  4 Ag 2.60, 4 S 2.83
6 S 0.7500 0.2500 0.0000  4 Ag 2.60, 4 S 2.83
7 O 0.2500 0.2500 0.4038  1 Ag 2.23, 1 Pb 2.23
8 O 0.7500 0.7500 0.5962  1 Ag 2.23, 1 Pb 2.23

Results
- Space-group type: P4/nmm, No. 129

---

Most stable structure: 1

---

## 1
The following is a PBE-GGA calculation of crystalline Cu4Ag at its relaxed geometry, from OQMD.

Cell lengths 2.7335, 2.7335, 17.4707 Å; angles 90.00, 90.00, 90.00 degrees
With the nearest neighbours (Å) after each atom.
Positions (direct):
1 Cu 0.2500 0.2500 0.0463  12 Cu 2.52-2.73
2 Cu 0.2500 0.2500 0.2307  12 Cu 2.51-2.73
3 Cu 0.2500 0.2500 0.6765  8 Cu 2.52-2.73, 4 Ag 2.75
4 Cu 0.2500 0.2500 0.8607  12 Cu 2.51-2.73
5 Cu 0.7500 0.7500 0.1393  12 Cu 2.51-2.73
6 Cu 0.7500 0.7500 0.3235  8 Cu 2.52-2.73, 4 Ag 2.75
7 Cu 0.7500 0.7500 0.7693  12 Cu 2.51-2.73
8 Cu 0.7500 0.7500 0.9537  12 Cu 2.52-2.73
9 Ag 0.2500 0.2500 0.4354  8 Ag 2.73-2.97, 4 Cu 2.75
10 Ag 0.7500 0.7500 0.5646  8 Ag 2.73-2.97, 4 Cu 2.75

Results
- Space-group type: P4/nmm, No. 129

---

## 2
The following is a PBE-GGA calculation of crystalline Cu4Ag at its relaxed geometry, from OQMD.

Cell lengths 4.5587, 4.5825, 6.9618 Å; angles 71.43, 71.16, 80.76 degrees
With the nearest neighbours (Å) after each atom.
Positions (direct):
1 Cu 0.2346 0.1541 0.4481  10 Cu 2.53-2.78, 2 Ag 2.63-2.65
2 Cu 0.2432 0.3596 0.0544  8 Cu 2.55-2.79, 4 Ag 2.64-2.69
3 Cu 0.2473 0.7287 0.2607  9 Cu 2.52-2.79, 3 Ag 2.64-2.74
4 Cu 0.2554 0.5566 0.6405  10 Cu 2.52-2.72, 2 Ag 2.65-2.67
5 Cu 0.7446 0.4434 0.3595  10 Cu 2.52-2.72, 2 Ag 2.65-2.67
6 Cu 0.7527 0.2713 0.7393  9 Cu 2.52-2.79, 3 Ag 2.64-2.74
7 Cu 0.7568 0.6404 0.9456  8 Cu 2.55-2.79, 4 Ag 2.64-2.69
8 Cu 0.7654 0.8459 0.5519  10 Cu 2.53-2.78, 2 Ag 2.63-2.65
9 Ag 0.2626 0.9547 0.8438  11 Cu 2.63-2.74, 1 Ag 2.74
10 Ag 0.7374 0.0453 0.1562  11 Cu 2.63-2.74, 1 Ag 2.74

Results
- Space-group type: P-1, No. 2

---

Most stable structure: 1

---

## 1
The following is a PBE-GGA calculation of crystalline ZnPbSO at its relaxed geometry, from OQMD.

Cell lengths 8.6388, 8.6388, 5.0984 Å; angles 90.00, 90.00, 158.18 degrees
With the nearest neighbours (Å) after each atom.
Positions (direct):
1 Zn 0.0000 0.0000 0.0000  4 O 2.16
2 Zn 0.0000 0.0000 0.5000  4 O 2.16
3 Pb 0.3303 0.6697 0.7500  1 O 2.26
4 Pb 0.6697 0.3303 0.2500  1 O 2.26
5 S 0.1359 0.8641 0.7500  2 Zn 2.63
6 S 0.8641 0.1359 0.2500  2 Zn 2.63
7 O 0.4633 0.5367 0.7500  4 Zn 2.16, 1 Pb 2.26
8 O 0.5367 0.4633 0.2500  4 Zn 2.16, 1 Pb 2.26

Results
- Space-group type: Cmcm, No. 63

---

## 2
The following is a PBE-GGA calculation of crystalline ZnPbSO at its relaxed geometry, from OQMD.

Cell lengths 4.5315, 4.5315, 7.4882 Å; angles 90.00, 90.00, 90.00 degrees
With the nearest neighbours (Å) after each atom.
Positions (direct):
1 Zn 0.2500 0.2500 0.1193  1 O 1.94
2 Zn 0.7500 0.7500 0.8807  1 O 1.94
3 Pb 0.2500 0.2500 0.6681  1 O 2.17
4 Pb 0.7500 0.7500 0.3319  1 O 2.17
5 S 0.2500 0.7500 0.0000  4 Zn 2.44
6 S 0.7500 0.2500 0.0000  4 Zn 2.44
7 O 0.2500 0.2500 0.3788  1 Zn 1.94, 1 Pb 2.17
8 O 0.7500 0.7500 0.6212  1 Zn 1.94, 1 Pb 2.17

Results
- Space-group type: P4/nmm, No. 129

---

Most stable structure: 1